(1)
# HoCdHgBi, relaxed, DFT GGA-PBE
# V: 26.80 Å³/atom
# DOS(E_F): 2.80 states/eV/f.u.
# Total moment: 0.0 Bohr magnetons per cell
# Formation enthalpy at 0 K: -0.226 eV/atom
# Electronic total energy: -2.645 eV per atom
data_HoCdHgBi
_chemical_formula_sum 'Ho4 Cd4 Hg4 Bi4'
_space_group_name_H-M_alt 'F -4 3 m'
_space_group_IT_number 216
_space_group_name_Hall 'F -4 2 3'
_cell_length_a 7.5412
_cell_length_b 7.5412
_cell_length_c 7.5412
_cell_angle_alpha 90.00
_cell_angle_beta 90.00
_cell_angle_gamma 90.00
loop_
_atom_site_label
_atom_site_type_symbol
_atom_site_fract_x
_atom_site_fract_y
_atom_site_fract_z
Ho1 Ho 0.0000 0.0000 0.0000
Cd1 Cd 0.0000 0.0000 0.5000
Hg1 Hg 0.2500 0.2500 0.7500
Bi1 Bi 0.2500 0.2500 0.2500


(2)
# CdHg2BiI, relaxed, DFT GGA-PBE
# V: 40.30 Å³/atom
# DOS(E_F): 4.18 states/eV/f.u.
# Total moment: 0.0 Bohr magnetons per cell
# Electronic total energy: -1.356 eV per atom
data_CdHg2BiI
_chemical_formula_sum 'Cd1 Hg2 Bi1 I1'
_space_group_name_H-M_alt 'P 4/m m m'
_space_group_IT_number 123
_space_group_name_Hall '-P 4 2'
_cell_length_a 5.9035
_cell_length_b 5.9035
_cell_length_c 5.7817
_cell_angle_alpha 90.00
_cell_angle_beta 90.00
_cell_angle_gamma 90.00
loop_
_atom_site_label
_atom_site_type_symbol
_atom_site_fract_x
_atom_site_fract_y
_atom_site_fract_z
Cd1 Cd 0.0000 0.0000 0.0000
Hg1 Hg 0.0000 0.5000 0.5000
Bi1 Bi 0.0000 0.0000 0.5000
I1 I 0.5000 0.5000 0.0000


What did the second record say?
# CdHg2BiI, relaxed, DFT GGA-PBE
# V: 40.30 Å³/atom
# DOS(E_F): 4.18 states/eV/f.u.
# Total moment: 0.0 Bohr magnetons per cell
# Electronic total energy: -1.356 eV per atom
data_CdHg2BiI
_chemical_formula_sum 'Cd1 Hg2 Bi1 I1'
_space_group_name_H-M_alt 'P 4/m m m'
_space_group_IT_number 123
_space_group_name_Hall '-P 4 2'
_cell_length_a 5.9035
_cell_length_b 5.9035
_cell_length_c 5.7817
_cell_angle_alpha 90.00
_cell_angle_beta 90.00
_cell_angle_gamma 90.00
loop_
_atom_site_label
_atom_site_type_symbol
_atom_site_fract_x
_atom_site_fract_y
_atom_site_fract_z
Cd1 Cd 0.0000 0.0000 0.0000
Hg1 Hg 0.0000 0.5000 0.5000
Bi1 Bi 0.0000 0.0000 0.5000
I1 I 0.5000 0.5000 0.0000


What is the DOS(E_F) in the second record? 4.18 states/eV/f.u.